[1]
Li2TcPt after structural relaxation. Source: the Alexandria database, functional GGA-PBE.

Values from the calculation:
Crystal system ... cubic
Total energy ... -5.1006 eV per atom
E_form ... -0.042 eV per atom

a = 4.2669 Å, b = 4.2669 Å, c = 4.2669 Å
α = 119.97°, β = 119.97°, γ = 90.05°
With the nearest neighbours (Å) after each atom.
Atoms (fractional coordinates):
Pt  0.5000  0.5000  0.0000  4 Li 2.61, 4 Tc 2.61
Tc  0.7500  0.2500  0.5000  4 Li 2.61, 4 Pt 2.61
Li  0.2500  0.7500  0.5000  4 Li 2.61, 4 Pt 2.61
Li  0.0000  0.0000  0.0000  4 Tc 2.61, 4 Li 2.61

***

[2]
YCu3Cl after structural relaxation. Source: the Alexandria database, functional GGA-PBE.

Values from the calculation:
Crystal system ... cubic
Total energy ... -3.5839 eV per atom
Uncorrected formation energy ... 0.536 eV/atom

a = 4.6120 Å, b = 4.6120 Å, c = 4.6120 Å
α = 90.00°, β = 90.00°, γ = 90.00°
With the nearest neighbours (Å) after each atom.
Atoms (fractional coordinates):
Cu  0.0000  0.5000  0.0000  2 Cl 2.31
Cu  0.5000  0.0000  0.0000  2 Cl 2.31
Cu  0.0000  0.0000  0.5000  2 Cl 2.31
Y  0.5000  0.5000  0.5000  12 Cu 3.26
Cl  0.0000  0.0000  0.0000  6 Cu 2.31

***

The calculation returns the following relative energy among the computed polymorphs values, one per record and in order: 85, 0 meV per atom.